VASP calculation (PBE) on Ge2Pt2Rh after structural relaxation.

Output
- M_tot (μB per formula unit) = 0.0
- N(E_F) (states/eV/cell) = 4.48
- total energy (eV/atom) = -5.970

```
10
Lattice="-2.545 6.034 -2.206 -5.769 -3.190 -2.071 -1.346 0.514 2.957" Properties=species:S:1:pos:R:3 pbc="T T T"
Ge -5.747 -0.616 -2.508
Ge -5.932 3.003 -3.220
Ge -2.567 3.460 -1.769
Ge -2.383 -0.159 -1.056
Rh 0.000 0.000 0.000
Rh -4.157 1.422 -2.138
Pt -4.747 -0.931 -0.168
Pt -7.253 1.404 -1.714
Pt -4.912 4.289 -1.151
Pt -2.407 1.954 0.395
```

VASP calculation (PBE) on Ge4PtRh after structural relaxation.

Output
- M_tot (μB per formula unit) = 0.0
- relative energy among the computed polymorphs (meV/atom) = 339
- N(E_F) (states/eV/cell) = 4.51

```
12
Lattice="6.925 0.705 0.000 -2.311 6.566 0.000 -2.307 -3.636 5.469" Properties=species:S:1:pos:R:3 pbc="T T T"
Ge -0.933 5.471 1.750
Ge 0.730 4.416 3.719
Ge 2.529 5.824 0.985
Ge 2.085 1.448 0.985
Ge 1.885 1.132 4.485
Ge -1.377 1.096 1.750
Ge -1.885 -1.132 4.485
Ge -3.040 2.151 3.719
Pt -1.155 3.283 2.735
Pt 2.307 3.636 0.000
Rh 0.000 0.000 0.000
Rh 3.463 0.353 2.735
```

VASP calculation (PBE) on Ge6Pt8Rh after structural relaxation.

Output
- M_tot (μB per formula unit) = 0.0
- N(E_F) (states/eV/cell) = 6.22
- total energy (eV/atom) = -5.925

```
15
Lattice="-1.517 5.910 3.965 -4.091 -0.589 5.989 2.512 0.945 6.229" Properties=species:S:1:pos:R:3 pbc="T T T"
Ge 0.579 2.574 6.589
Ge -1.270 5.168 6.396
Ge -2.204 1.013 6.620
Ge -0.890 5.253 9.564
Ge -1.825 1.098 9.787
Ge -3.674 3.692 9.594
Pt -1.282 2.875 4.920
Pt -3.135 4.457 13.557
Pt -1.660 6.184 11.828
Pt -2.736 3.358 7.302
Pt -0.359 2.908 8.881
Pt -1.435 0.082 4.355
Pt 0.040 1.809 2.627
Pt -1.813 3.390 11.263
Rh 0.000 0.000 0.000
```

VASP calculation (PBE) on SiGePtRh2 after structural relaxation.

Output
- M_tot (μB per formula unit) = 2.0
- energy relative to the elements, uncorrected (eV/atom) = 1.16
- N(E_F) (states/eV/cell) = 5.85

```
5
Lattice="-3.899 1.901 2.345 -2.552 -0.662 -3.707 -1.208 -4.493 1.634" Properties=species:S:1:pos:R:3 pbc="T T T"
Ge -1.276 -0.331 -1.854
Rh -0.604 -2.246 0.817
Rh -1.949 0.951 1.172
Si -3.830 -1.627 0.136
Pt 0.000 0.000 0.000
```

VASP calculation (PBE) on Sm2Ge4PtRh3 after structural relaxation.

Output
- M_tot (μB per formula unit) = 0.0
- N(E_F) (states/eV/cell) = 4.89
- total energy (eV/atom) = -6.474

```
10
Lattice="4.230 0.000 0.000 0.000 4.230 0.000 0.000 0.000 10.275" Properties=species:S:1:pos:R:3 pbc="T T T"
Sm 2.115 0.000 2.475
Sm 0.000 2.115 7.799
Ge 2.115 2.115 0.000
Ge 0.000 0.000 0.000
Ge 2.115 0.000 6.551
Ge 0.000 2.115 3.724
Pt 2.115 2.115 5.137
Rh 0.000 0.000 5.137
Rh 2.115 0.000 8.970
Rh 0.000 2.115 1.304
```

VASP calculation (PBE) on SrGePtRh2 after structural relaxation.

Output
- M_tot (μB per formula unit) = 0.8
- N(E_F) (states/eV/cell) = 6.24
- total energy (eV/atom) = -3.554

```
5
Lattice="-4.183 1.268 2.032 0.935 -3.409 4.053 2.243 3.506 2.431" Properties=species:S:1:pos:R:3 pbc="T T T"
Sr 0.000 0.000 0.000
Ge 0.468 -1.704 2.026
Rh 1.122 1.753 1.215
Rh -2.092 0.634 1.016
Pt -0.502 0.683 4.258
```

VASP calculation (PBE) on Sr2Ge4Pt3Rh after structural relaxation.

Output
- M_tot (μB per formula unit) = 0.0
- N(E_F) (states/eV/cell) = 4.50
- total energy (eV/atom) = -5.535

```
10
Lattice="-3.444 1.791 -1.929 -2.616 -1.978 2.834 0.707 8.302 6.449" Properties=species:S:1:pos:R:3 pbc="T T T"
Sr -1.548 2.942 0.626
Sr -0.775 5.266 6.276
Ge -3.030 -0.094 0.453
Ge 0.000 0.000 0.000
Ge -1.278 6.109 3.085
Ge -1.045 2.099 3.816
Pt 0.353 4.151 3.224
Pt -1.106 8.126 4.652
Pt -1.217 0.083 2.250
Rh -2.676 4.057 3.677
```

VASP calculation (PBE) on SrGe2PtRh after structural relaxation.

Output
- M_tot (μB per formula unit) = 0.0
- N(E_F) (states/eV/cell) = 3.40
- total energy (eV/atom) = -5.616

```
5
Lattice="4.270 0.000 0.000 0.000 4.270 0.000 -2.135 -2.135 5.412" Properties=species:S:1:pos:R:3 pbc="T T T"
Sr 0.000 0.000 0.000
Ge 2.135 2.135 1.373
Ge 0.000 0.000 4.039
Pt 0.000 2.135 2.706
Rh 2.135 0.000 2.706
```

VASP calculation (PBE) on Sr2Ge4PtRh3 after structural relaxation.

Output
- M_tot (μB per formula unit) = 0.0
- N(E_F) (states/eV/cell) = 6.57
- total energy (eV/atom) = -5.711

```
10
Lattice="4.354 0.000 0.000 0.000 4.354 0.000 0.000 0.000 10.239" Properties=species:S:1:pos:R:3 pbc="T T T"
Sr 2.177 0.000 2.529
Sr 0.000 2.177 7.710
Ge 2.177 2.177 0.000
Ge 0.000 0.000 0.000
Ge 2.177 0.000 6.444
Ge 0.000 2.177 3.795
Pt 2.177 2.177 5.119
Rh 0.000 0.000 5.119
Rh 2.177 0.000 8.976
Rh 0.000 2.177 1.263
```

VASP calculation (PBE) on Tb2Ge4PtRh3 after structural relaxation.

Output
- M_tot (μB per formula unit) = 0.0
- N(E_F) (states/eV/cell) = 4.41
- total energy (eV/atom) = -6.444

```
10
Lattice="-1.409 -1.971 3.415 1.081 -3.681 -1.678 9.337 0.780 4.301" Properties=species:S:1:pos:R:3 pbc="T T T"
Tb 1.550 -0.797 2.746
Tb 7.622 -1.249 2.423
Ge -0.164 -2.826 0.868
Ge 0.000 0.000 0.000
Ge 5.255 -0.488 4.453
Ge 3.918 -1.558 0.717
Pt 4.504 -2.436 3.019
Rh 4.668 0.390 2.151
Rh 7.430 -0.306 5.455
Rh 1.742 -1.740 -0.285
```

VASP calculation (PBE) on Tb2Ge4Pt3Rh after structural relaxation.

Output
- M_tot (μB per formula unit) = 0.0
- N(E_F) (states/eV/cell) = 4.42
- total energy (eV/atom) = -6.225

```
10
Lattice="4.138 0.000 0.000 0.000 4.138 0.000 0.000 0.000 10.817" Properties=species:S:1:pos:R:3 pbc="T T T"
Tb 2.069 0.000 2.779
Tb 0.000 2.069 8.038
Ge 2.069 2.069 0.000
Ge 0.000 0.000 0.000
Ge 2.069 0.000 6.858
Ge 0.000 2.069 3.960
Pt 0.000 0.000 5.409
Pt 2.069 0.000 9.293
Pt 0.000 2.069 1.524
Rh 2.069 2.069 5.409
```

VASP calculation (PBE) on Tb2Ge3Pt4Rh after structural relaxation.

Output
- M_tot (μB per formula unit) = 0.0
- N(E_F) (states/eV/cell) = 5.45
- total energy (eV/atom) = -6.274

```
10
Lattice="-2.826 2.219 1.787 1.326 -1.203 3.592 7.246 8.964 0.328" Properties=species:S:1:pos:R:3 pbc="T T T"
Tb 0.448 3.412 0.978
Tb 6.048 6.060 2.039
Ge 3.623 4.482 0.164
Ge 4.861 8.871 1.177
Ge 1.635 0.601 1.840
Pt -0.750 0.508 2.689
Pt 0.000 0.000 0.000
Pt 3.354 7.006 1.109
Pt 3.143 2.466 1.908
Rh 2.873 4.990 2.853
```